# 1
Compound: Re2PRh
Source: Alexandria via LeMat-Bulk
Functional: GGA-PBE
Structure: relaxed

```
8
Lattice="-2.765 2.765 5.231 2.765 -2.765 5.231 2.765 2.765 -5.231" Properties=species:S:1:pos:R:3 pbc="T T T"
Re 4.147 1.303 -1.308
Re 1.303 1.382 1.308
Re -1.382 1.461 3.923
Re 1.461 1.382 6.539
P 0.000 0.000 0.000
P 0.000 2.765 2.615
Rh 2.765 0.000 2.615
Rh 0.000 0.000 5.231
```

Results
**Energy relative to the elements**: 0.841 eV/atom
**Mass density**: 10.51 g/cm3

# 2
Compound: Sr2Cu2Hg
Source: Alexandria via LeMat-Bulk
Functional: GGA-PBE
Structure: relaxed

```
10
Lattice="8.730 0.000 0.000 0.000 8.730 0.000 0.000 0.000 3.910" Properties=species:S:1:pos:R:3 pbc="T T T"
Sr 1.525 2.840 0.000
Sr 2.840 7.205 0.000
Sr 5.890 1.525 0.000
Sr 7.205 5.890 0.000
Cu 0.884 5.250 1.955
Cu 3.481 0.884 1.955
Cu 5.250 7.846 1.955
Cu 7.846 3.481 1.955
Hg 0.000 0.000 0.000
Hg 4.365 4.365 0.000
```

Results
**Energy relative to the lowest polymorph listed for this composition**: 86 kJ/mol of formula units
**Energy relative to the elements**: -0.001 eV/atom
**Mass density**: 5.60 g/cm3

# 3
Compound: CrCuRhAu
Source: Alexandria via LeMat-Bulk
Functional: GGA-PBE
Structure: relaxed

```
4
Lattice="0.000 3.081 3.081 3.081 0.000 3.081 3.081 3.081 0.000" Properties=species:S:1:pos:R:3 pbc="T T T"
Cr 0.000 0.000 0.000
Cu 3.081 3.081 3.081
Rh 4.621 4.621 4.621
Au 1.540 1.540 1.540
```

Results
**Energy relative to the elements**: 0.103 eV/atom
**Mass density**: 11.80 g/cm3

# 4
Compound: CsTiIn2I6
Source: Alexandria via LeMat-Bulk
Functional: GGA-PBE
Structure: relaxed

```
10
Lattice="8.433 0.000 0.000 -4.216 7.338 0.000 -4.211 -2.442 7.604" Properties=species:S:1:pos:R:3 pbc="T T T"
Cs 0.000 0.000 0.000
Ti 4.224 2.452 3.519
In 0.014 0.010 6.771
In 0.005 4.905 3.403
I -1.942 2.716 1.786
I -2.999 0.444 5.098
I -3.084 4.512 5.094
I 3.323 0.358 1.782
I 2.865 4.279 1.777
I 1.871 2.407 5.088
```

Results
**E_tot**: -31.14 eV/f.u.
**Mass density**: 4.14 g/cm3

# 5
Compound: Al2Cl
Source: Alexandria via LeMat-Bulk
Functional: GGA-PBE
Structure: relaxed

```
12
Lattice="6.749 0.000 0.000 0.000 6.749 0.000 0.000 0.000 6.749" Properties=species:S:1:pos:R:3 pbc="T T T"
Al 0.855 0.855 0.855
Al 0.855 2.519 4.229
Al 2.519 4.229 0.855
Al 2.519 5.894 4.229
Al 4.229 0.855 2.519
Al 4.229 2.519 5.894
Al 5.894 4.229 2.519
Al 5.894 5.894 5.894
Cl 0.000 0.000 3.374
Cl 0.000 3.374 0.000
Cl 3.374 0.000 0.000
Cl 3.374 3.374 3.374
```

Results
**Energy relative to the lowest polymorph listed for this composition**: 245 kJ/mol of formula units
**Mass density**: 1.93 g/cm3

# 6
Compound: ZnReI2N
Source: Alexandria via LeMat-Bulk
Functional: GGA-PBE
Structure: relaxed

```
5
Lattice="5.629 0.000 0.000 0.000 5.629 0.000 0.000 0.000 3.783" Properties=species:S:1:pos:R:3 pbc="T T T"
Zn 0.000 0.000 0.000
Re 2.814 2.814 1.891
I 0.000 2.814 1.891
I 2.814 0.000 1.891
N 2.814 2.814 0.000
```

Results
**Energy relative to the lowest polymorph listed for this composition**: 0 kJ/mol of formula units
**Mass density**: 7.20 g/cm3

> Which value of mass density does entry 2 give?

5.60 g/cm3